First-principles (PBE) data for an optimized crystal structure of ZnNi3N, as listed in the Alexandria database.

final energy: -51.39 eV for the cell shown
space-group type: No. 167

abc: 4.7709 4.7709 4.7709
angles: 89.23 89.23 89.23
Fractional positions:
Ni: 0.9785 0.5215 0.2500
Ni: 0.5215 0.2500 0.9785
Ni: 0.2500 0.9785 0.5215
Ni: 0.7500 0.0215 0.4785
Ni: 0.4785 0.7500 0.0215
Ni: 0.0215 0.4785 0.7500
Zn: 0.0000 0.0000 0.0000
Zn: 0.5000 0.5000 0.5000
N: 0.2500 0.2500 0.2500
N: 0.7500 0.7500 0.7500



First-principles (PBE) data for an optimized crystal structure of Zn2NiN2, as listed in the Alexandria database.

space-group type: No. 127
offset from the most stable computed form: 835 meV per atom

abc: 6.2246 6.2246 2.7086
angles: 90.00 90.00 90.00
Last column: magnetic moment on the atom in μB.
Fractional positions:
Ni: 0.0000 0.0000 0.0000  0.65
Ni: 0.5000 0.5000 0.0000  0.65
Zn: 0.3599 0.8599 0.0000  0.00
Zn: 0.8599 0.6401 0.0000  0.00
Zn: 0.6401 0.1401 0.0000  0.00
Zn: 0.1401 0.3599 0.0000  0.00
N: 0.1733 0.6733 0.5000  0.21
N: 0.6733 0.8267 0.5000  0.20
N: 0.8267 0.3267 0.5000  0.21
N: 0.3267 0.1733 0.5000  0.20



First-principles (PBE) data for an optimized crystal structure of Zn2NiN2, as listed in the Alexandria database.

space-group type: No. 12
offset from the most stable computed form: 0 meV per atom

abc: 5.9489 5.9489 7.2708
angles: 59.53 59.53 34.98
Fractional positions:
Zn: 0.6585 0.6585 0.9908
Zn: 0.3415 0.3415 0.0092
Zn: 0.0959 0.0959 0.7019
Zn: 0.9041 0.9041 0.2981
Ni: 0.3821 0.3821 0.6128
Ni: 0.6179 0.6179 0.3872
N: 0.1983 0.1983 0.8556
N: 0.8017 0.8017 0.1444
N: 0.4786 0.4786 0.3154
N: 0.5214 0.5214 0.6846



First-principles (PBE) data for an optimized crystal structure of ZnNi3N, as listed in the Alexandria database.

final energy: -16.92 eV for the cell shown
space-group type: No. 221

abc: 4.3193 4.3193 4.3193
angles: 90.00 90.00 90.00
Last column: magnetic moment on the atom in μB.
Fractional positions:
Ni: 0.0000 0.5000 0.0000  0.72
Ni: 0.0000 0.0000 0.5000  0.48
Ni: 0.5000 0.0000 0.0000  0.63
Zn: 0.0000 0.0000 0.0000  -0.06
N: 0.5000 0.5000 0.5000  1.00



What did the third record say?
First-principles (PBE) data for an optimized crystal structure of Zn2NiN2, as listed in the Alexandria database.

space-group type: No. 12
offset from the most stable computed form: 0 meV per atom

abc: 5.9489 5.9489 7.2708
angles: 59.53 59.53 34.98
Fractional positions:
Zn: 0.6585 0.6585 0.9908
Zn: 0.3415 0.3415 0.0092
Zn: 0.0959 0.0959 0.7019
Zn: 0.9041 0.9041 0.2981
Ni: 0.3821 0.3821 0.6128
Ni: 0.6179 0.6179 0.3872
N: 0.1983 0.1983 0.8556
N: 0.8017 0.8017 0.1444
N: 0.4786 0.4786 0.3154
N: 0.5214 0.5214 0.6846



Please write out number 2 again, unchanged.
First-principles (PBE) data for an optimized crystal structure of Zn2NiN2, as listed in the Alexandria database.

space-group type: No. 127
offset from the most stable computed form: 835 meV per atom

abc: 6.2246 6.2246 2.7086
angles: 90.00 90.00 90.00
Last column: magnetic moment on the atom in μB.
Fractional positions:
Ni: 0.0000 0.0000 0.0000  0.65
Ni: 0.5000 0.5000 0.0000  0.65
Zn: 0.3599 0.8599 0.0000  0.00
Zn: 0.8599 0.6401 0.0000  0.00
Zn: 0.6401 0.1401 0.0000  0.00
Zn: 0.1401 0.3599 0.0000  0.00
N: 0.1733 0.6733 0.5000  0.21
N: 0.6733 0.8267 0.5000  0.20
N: 0.8267 0.3267 0.5000  0.21
N: 0.3267 0.1733 0.5000  0.20